## SnSeSN2 (PBE)

Data for SnSeSN2 after structural relaxation.

abc: 4.101 4.101 5.504
angles: 90.00 90.00 90.00
Fractional coordinates of all 5 atoms:
N1 0.500 0.000 0.000
N2 0.000 0.500 0.000
S1 0.000 0.000 0.500
Sn1 0.000 0.000 0.000
Se1 0.500 0.500 0.500

Energy relative to the elements, uncorrected = 1.427 eV/atom

=====

## DyGaCo4 (PBE)

Data for DyGaCo4 after structural relaxation.

abc: 5.016 5.016 4.006
angles: 90.00 90.00 121.72
Fractional coordinates of all 6 atoms:
Dy1 0.500 0.500 0.000
Co1 0.186 0.814 0.000
Co2 0.000 0.500 0.500
Co3 0.814 0.186 0.000
Co4 0.500 0.000 0.500
Ga1 0.000 0.000 0.500

Formation energy = -0.235 eV/atom

=====

## PtRhCl2 (PBE)

Data for PtRhCl2 after structural relaxation.

abc: 7.874 7.874 7.874
angles: 24.85 24.85 24.85
Fractional coordinates of all 4 atoms:
Pt1 0.000 0.000 0.000
Rh1 0.500 0.500 0.500
Cl1 0.900 0.900 0.900
Cl2 0.100 0.100 0.100

Energy relative to the elements, uncorrected = 0.289 eV/atom